# 1
# Nb5W

A relaxed structure of Nb5W (PBE-GGA, Alexandria).

Output
total moment: 0.00 μB per formula unit
energy: -126.94 eV for the cell shown
density of states at the Fermi level: 17.4 states/eV per cell
SG: Cmmm
calculated formation energy: -0.0283 eV/atom

a = 4.6521 Å, b = 14.0101 Å, c = 3.2810 Å
α = 90.00°, β = 90.00°, γ = 90.00°
Element x y z (fractional)
1 Nb 0.0000 0.0000 0.0000
2 Nb 0.0000 0.1666 0.5000
3 Nb 0.0000 0.3369 0.0000
4 Nb 0.0000 0.6631 0.0000
5 Nb 0.0000 0.8334 0.5000
6 Nb 0.5000 0.1631 0.0000
7 Nb 0.5000 0.3334 0.5000
8 Nb 0.5000 0.5000 0.0000
9 Nb 0.5000 0.6666 0.5000
10 Nb 0.5000 0.8369 0.0000
11 W 0.0000 0.5000 0.5000
12 W 0.5000 0.0000 0.5000

---

# 2
# SrBi2As2

A relaxed structure of SrBi2As2 (PBE-GGA, Alexandria).

Output
total moment: 0.00 μB per formula unit
energy: -40.06 eV for the cell shown
density of states at the Fermi level: 2.4 states/eV per cell
SG: I4/mmm
polymorph energy (0 for the lowest one): 105.8 meV/atom
calculated formation energy: -0.2572 eV/atom

a = 5.6489 Å, b = 5.6489 Å, c = 10.0496 Å
α = 90.00°, β = 90.00°, γ = 90.00°
Element x y z (fractional)
1 Sr 0.0000 0.0000 0.0000
2 Sr 0.5000 0.5000 0.5000
3 Bi 0.0000 0.0000 0.3409
4 Bi 0.0000 0.0000 0.6591
5 Bi 0.5000 0.5000 0.1591
6 Bi 0.5000 0.5000 0.8409
7 As 0.0000 0.5000 0.2500
8 As 0.0000 0.5000 0.7500
9 As 0.5000 0.0000 0.2500
10 As 0.5000 0.0000 0.7500